[1]
First-principles (GGA-PBE) data for a relaxed Ba5W crystal, as listed in the Alexandria database.

Lattice parameters (Å, degrees): 14.9290 4.1500 10.6841 90.00 113.57 90.00
Last column: nearest neighbours and their distance in Å.
Space group C2/m (No. 12)
One atom of each set of equivalent atoms:
Ba  0.0000  0.0000  0.0000  12 Ba 4.15-4.63
Ba  0.1243  0.5000  0.3784  2 W 3.37
Ba  0.1630  0.5000  0.7696  2 W 3.59, 2 Ba 3.93-3.98
W  0.0000  0.0000  0.5000  8 Ba 3.37-3.59

Uncorrected energy = -3.086 eV per atom
Calculated density = 4.76 g/cm3
Formation energy from the elements = 0.67 eV per atom


[2]
First-principles (GGA-PBE) data for a relaxed BaW5 crystal, as listed in the Alexandria database.

Lattice parameters (Å, degrees): 5.7559 5.7559 4.3615 90.00 90.00 120.00
Last column: nearest neighbours and their distance in Å.
Space group P6/mmm (No. 191)
One atom of each set of equivalent atoms:
Ba  0.0000  0.0000  0.0000  18 W 3.32-3.61
W  0.0000  0.5000  0.5000  8 W 2.74-2.88
W  0.3333  0.6667  0.0000  6 W 2.74

Uncorrected energy = -10.313 eV per atom
Calculated density = 14.02 g/cm3
Formation energy from the elements = 0.80 eV per atom


[3]
First-principles (GGA-PBE) data for a relaxed BaW crystal, as listed in the Alexandria database.

Lattice parameters (Å, degrees): 4.3257 4.3257 2.9725 90.00 90.00 90.00
Last column: nearest neighbours and their distance in Å.
Space group P4/mmm (No. 123)
One atom of each set of equivalent atoms:
Ba  0.0000  0.0000  0.0000  2 Ba 2.97
W  0.5000  0.5000  0.5000  2 W 2.97

Uncorrected energy = -5.392 eV per atom
Calculated density = 9.59 g/cm3
Formation energy from the elements = 2.05 eV per atom


[4]
First-principles (GGA-PBE) data for a relaxed BaW2 crystal, as listed in the Alexandria database.

Lattice parameters (Å, degrees): 8.5248 3.3173 12.2330 90.00 104.43 90.00
Last column: nearest neighbours and their distance in Å.
Space group C2/m (No. 12)
One atom of each set of equivalent atoms:
Ba  0.1874  0.0000  0.1688  3 W 3.20-3.49, 2 Ba 3.32
W  0.0175  0.5000  0.3624  5 W 2.64-2.88
W  0.1639  0.0000  0.5535  8 W 2.64-2.88

Uncorrected energy = -8.456 eV per atom
Calculated density = 10.01 g/cm3
Formation energy from the elements = 0.82 eV per atom


[5]
First-principles (GGA-PBE) data for a relaxed BaW2 crystal, as listed in the Alexandria database.

Lattice parameters (Å, degrees): 7.7280 4.4614 11.1777 90.00 90.38 90.00
Last column: nearest neighbours and their distance in Å.
Space group C2/m (No. 12)
One atom of each set of equivalent atoms:
Ba  0.1637  0.0000  0.1913  3 W 3.43
W  0.0010  0.5000  0.6063  1 W 2.38
W  0.1671  0.0000  0.5414  6 W 2.68-2.74

Uncorrected energy = -8.605 eV per atom
Calculated density = 8.70 g/cm3
Formation energy from the elements = 0.67 eV per atom


[6]
First-principles (GGA-PBE) data for a relaxed BaW2 crystal, as listed in the Alexandria database.

Lattice parameters (Å, degrees): 3.3063 3.3063 7.7617 90.00 90.00 120.00
Last column: nearest neighbours and their distance in Å.
Space group P-3m1 (No. 164)
One atom of each set of equivalent atoms:
Ba  0.0000  0.0000  0.0000  6 Ba 3.31, 6 W 3.60
W  0.3333  0.6667  0.6062  3 W 2.52

Uncorrected energy = -8.089 eV per atom
Calculated density = 11.41 g/cm3
Formation energy from the elements = 1.19 eV per atom


[7]
First-principles (GGA-PBE) data for a relaxed BaW crystal, as listed in the Alexandria database.

Lattice parameters (Å, degrees): 3.1077 3.1077 18.1058 90.00 90.00 120.00
Last column: nearest neighbours and their distance in Å.
Space group R-3m (No. 166, hexagonal axes)
One atom of each set of equivalent atoms:
Ba  0.0000  0.0000  0.0000  6 Ba 3.11
W  0.0000  0.0000  0.5000  6 W 3.11

Uncorrected energy = -5.596 eV per atom
Calculated density = 10.57 g/cm3
Formation energy from the elements = 1.84 eV per atom


[8]
First-principles (GGA-PBE) data for a relaxed BaW crystal, as listed in the Alexandria database.

Lattice parameters (Å, degrees): 3.4251 20.3105 3.5552 90.00 90.00 90.00
Last column: nearest neighbours and their distance in Å.
Space group Cmcm (No. 63)
One atom of each set of equivalent atoms:
Ba  0.0000  0.0966  0.2500  4 Ba 3.43-3.56, 5 W 3.58-3.63
W  0.0000  0.2727  0.2500  4 W 2.63

Uncorrected energy = -6.658 eV per atom
Calculated density = 8.63 g/cm3
Formation energy from the elements = 0.78 eV per atom


[9]
First-principles (GGA-PBE) data for a relaxed BaW crystal, as listed in the Alexandria database.

Lattice parameters (Å, degrees): 4.2468 3.3892 9.0618 90.00 90.00 90.00
Last column: nearest neighbours and their distance in Å.
Space group Pmma (No. 51)
One atom of each set of equivalent atoms:
Ba  0.2500  0.0000  0.2121  6 W 3.36-3.65, 2 Ba 3.39
W  0.2500  0.5000  0.5692  2 W 2.47

Uncorrected energy = -6.294 eV per atom
Calculated density = 8.18 g/cm3
Formation energy from the elements = 1.14 eV per atom


[10]
First-principles (GGA-PBE) data for a relaxed Ba2W crystal, as listed in the Alexandria database.

Lattice parameters (Å, degrees): 5.8077 5.8077 7.5511 90.00 90.00 120.00
Last column: nearest neighbours and their distance in Å.
Space group P6_3/mmc (No. 194)
One atom of each set of equivalent atoms:
Ba  0.0000  0.0000  0.0000  8 Ba 3.78-3.85, 6 W 3.85
Ba  0.3333  0.6667  0.2500  3 W 3.35
W  0.3333  0.6667  0.7500  3 Ba 3.35

Uncorrected energy = -4.155 eV per atom
Calculated density = 6.90 g/cm3
Formation energy from the elements = 1.45 eV per atom


[11]
First-principles (GGA-PBE) data for a relaxed BaW2 crystal, as listed in the Alexandria database.

Lattice parameters (Å, degrees): 3.1979 24.0760 4.3423 90.00 90.00 90.00
Last column: nearest neighbours and their distance in Å.
Space group Cmcm (No. 63)
One atom of each set of equivalent atoms:
Ba  0.0000  0.1708  0.2500  2 Ba 3.20, 2 W 3.39
W  0.0000  0.0469  0.7500  6 W 2.70-2.76
W  0.0000  0.4532  0.7500  6 W 2.70-2.76

Uncorrected energy = -8.569 eV per atom
Calculated density = 10.03 g/cm3
Formation energy from the elements = 0.71 eV per atom


[12]
First-principles (GGA-PBE) data for a relaxed Ba2W crystal, as listed in the Alexandria database.

Lattice parameters (Å, degrees): 3.6023 34.1390 3.9339 90.00 90.00 90.00
Last column: nearest neighbours and their distance in Å.
Space group Cmcm (No. 63)
One atom of each set of equivalent atoms:
Ba  0.0000  0.0524  0.2500  4 Ba 3.60-3.93
Ba  0.0000  0.3341  0.2500  4 W 3.39-3.48, 2 Ba 3.60
W  0.0000  0.2532  0.7500  4 W 2.68

Uncorrected energy = -4.878 eV per atom
Calculated density = 6.29 g/cm3
Formation energy from the elements = 0.72 eV per atom


Number 1: distance to the lowest polymorph of the same formula 0.0 meV/atom. Number 2: distance to the lowest polymorph of the same formula 185.5 meV/atom. Number 3: distance to the lowest polymorph of the same formula 1269.8 meV/atom. Number 4: distance to the lowest polymorph of the same formula 148.5 meV/atom. Number 5: distance to the lowest polymorph of the same formula 0.0 meV/atom. Number 6: distance to the lowest polymorph of the same formula 515.4 meV/atom. Number 7: distance to the lowest polymorph of the same formula 1065.9 meV/atom. Number 8: distance to the lowest polymorph of the same formula 3.8 meV/atom. Number 9: distance to the lowest polymorph of the same formula 368.1 meV/atom. Number 10: distance to the lowest polymorph of the same formula 763.0 meV/atom. Number 11: distance to the lowest polymorph of the same formula 35.8 meV/atom. Number 12: distance to the lowest polymorph of the same formula 39.2 meV/atom.